VASP calculation (PBE) on an optimized crystal structure of BaGa2N.

POSCAR file:
```
BaGa2N
1.0
-3.367 3.367 4.325
3.367 -3.367 4.325
3.367 3.367 -4.325
Ba Ga N
2 4 2
direct
0.000 0.000 0.000
0.750 0.250 0.500
0.273 0.625 0.148
0.375 0.523 0.648
0.477 0.125 0.852
0.875 0.727 0.352
0.250 0.750 0.500
0.500 0.500 0.000
```

Summary:
Space-group type: I-42d (122)
Density, g/cm3: 4.92
E_form (uncorrected), eV per atom: 0.20

=====

VASP calculation (PBE) on an optimized crystal structure of Ba6Ga2N.

POSCAR file:
```
Ba6Ga2N
1.0
7.733 -2.212 0.000
7.733 2.212 0.000
-4.524 0.000 12.311
Ba Ga N
6 2 1
direct
0.017 0.017 0.309
0.173 0.173 0.601
0.342 0.342 0.944
0.658 0.658 0.056
0.827 0.827 0.399
0.983 0.983 0.691
0.325 0.325 0.194
0.675 0.675 0.806
0.000 0.000 0.500
```

Summary:
Space-group type: C2/m (12)
Density, g/cm3: 3.85
E_form (uncorrected), eV per atom: -0.13

=====

VASP calculation (PBE) on an optimized crystal structure of BaGa3N.

POSCAR file:
```
BaGa3N
1.0
4.806 0.000 0.000
0.000 4.806 0.000
0.000 0.000 4.806
Ba Ga N
1 3 1
direct
0.000 0.000 0.000
0.000 0.500 0.500
0.500 0.000 0.500
0.500 0.500 0.000
0.500 0.500 0.500
```

Summary:
Space-group type: Pm-3m (221)
Density, g/cm3: 5.39
E_form (uncorrected), eV per atom: 0.42

=====

VASP calculation (PBE) on an optimized crystal structure of Ba4GaN3O.

POSCAR file:
```
Ba4GaN3O
1.0
7.986 0.000 0.000
0.000 25.173 0.000
0.000 0.000 7.994
Ba Ga N O
32 8 24 8
direct
0.014 0.061 0.142
0.014 0.439 0.642
0.055 0.733 0.736
0.055 0.767 0.236
0.146 0.564 0.833
0.146 0.936 0.333
0.185 0.151 0.458
0.185 0.349 0.958
0.315 0.651 0.458
0.315 0.849 0.958
0.354 0.064 0.833
0.354 0.436 0.333
0.445 0.233 0.736
0.445 0.267 0.236
0.486 0.561 0.142
0.486 0.939 0.642
0.514 0.061 0.358
0.514 0.439 0.858
0.555 0.733 0.764
0.555 0.767 0.264
0.646 0.564 0.667
0.646 0.936 0.167
0.685 0.151 0.042
0.685 0.349 0.542
0.815 0.651 0.042
0.815 0.849 0.542
0.854 0.064 0.667
0.854 0.436 0.167
0.945 0.233 0.764
0.945 0.267 0.264
0.986 0.561 0.358
0.986 0.939 0.858
0.200 0.172 0.016
0.200 0.328 0.516
0.300 0.672 0.016
0.300 0.828 0.516
0.700 0.172 0.484
0.700 0.328 0.984
0.800 0.672 0.484
0.800 0.828 0.984
0.070 0.128 0.860
0.070 0.372 0.360
0.144 0.633 0.152
0.144 0.867 0.652
0.184 0.247 0.009
0.184 0.253 0.509
0.316 0.747 0.009
0.316 0.753 0.509
0.356 0.133 0.152
0.356 0.367 0.652
0.430 0.628 0.860
0.430 0.872 0.360
0.570 0.128 0.640
0.570 0.372 0.140
0.644 0.633 0.348
0.644 0.867 0.848
0.684 0.247 0.491
0.684 0.253 0.991
0.816 0.747 0.491
0.816 0.753 0.991
0.856 0.133 0.348
0.856 0.367 0.848
0.930 0.628 0.640
0.930 0.872 0.140
0.229 0.523 0.529
0.229 0.977 0.029
0.271 0.023 0.529
0.271 0.477 0.029
0.729 0.523 0.971
0.729 0.977 0.471
0.771 0.023 0.971
0.771 0.477 0.471
```

Summary:
Space-group type: Pbca (61)
Density, g/cm3: 5.60
E_form (uncorrected), eV per atom: -0.87

=====

VASP calculation (PBE) on an optimized crystal structure of BaGaNO2.

POSCAR file:
```
BaGaNO2
1.0
4.926 0.000 0.000
0.000 4.926 0.000
0.000 0.000 5.321
Ba Ga N O
1 1 1 2
direct
0.000 0.000 0.000
0.500 0.500 0.500
0.000 0.000 0.500
0.000 0.500 0.000
0.500 0.000 0.000
```

Summary:
Space-group type: P4/mmm (123)
Density, g/cm3: 3.25
E_form (uncorrected), eV per atom: 0.46

=====

VASP calculation (PBE) on an optimized crystal structure of Ba6Ga2NO.

POSCAR file:
```
Ba6Ga2NO
1.0
7.784 0.000 0.000
0.000 7.831 0.000
-7.781 0.000 10.985
Ba Ga N O
12 4 2 2
direct
0.185 0.224 0.467
0.185 0.276 0.967
0.245 0.721 0.467
0.245 0.779 0.967
0.313 0.009 0.248
0.313 0.491 0.748
0.687 0.509 0.252
0.687 0.991 0.752
0.755 0.221 0.033
0.755 0.279 0.533
0.815 0.724 0.033
0.815 0.776 0.533
0.242 0.029 0.750
0.242 0.471 0.250
0.758 0.529 0.750
0.758 0.971 0.250
0.000 0.000 0.000
0.000 0.500 0.500
0.500 0.000 0.500
0.500 0.500 0.000
```

Summary:
Space-group type: P2_1/c (14)
Density, g/cm3: 4.93
E_form (uncorrected), eV per atom: -0.72

=====

VASP calculation (PBE) on an optimized crystal structure of BaGaN2O.

POSCAR file:
```
BaGaN2O
1.0
5.337 0.000 0.000
0.000 5.337 0.000
0.000 0.000 4.854
Ba Ga N O
1 1 2 1
direct
0.000 0.000 0.000
0.500 0.500 0.500
0.000 0.500 0.000
0.500 0.000 0.000
0.000 0.000 0.500
```

Summary:
Space-group type: P4/mmm (123)
Density, g/cm3: 3.02
E_form (uncorrected), eV per atom: 1.25

=====

VASP calculation (PBE) on an optimized crystal structure of BaGaN2O.

POSCAR file:
```
BaGaN2O
1.0
4.126 0.000 0.000
0.000 4.126 0.000
0.000 0.000 4.196
Ba Ga N O
1 1 2 1
direct
0.000 0.000 0.000
0.500 0.500 0.500
0.000 0.500 0.500
0.500 0.000 0.500
0.500 0.500 0.000
```

Summary:
Space-group type: P4/mmm (123)
Density, g/cm3: 5.84
E_form (uncorrected), eV per atom: -0.17

=====

VASP calculation (PBE) on an optimized crystal structure of BaGaNO2.

POSCAR file:
```
BaGaNO2
1.0
4.154 0.000 0.000
0.000 4.154 0.000
0.000 0.000 4.013
Ba Ga N O
1 1 1 2
direct
0.000 0.000 0.000
0.500 0.500 0.500
0.500 0.500 0.000
0.000 0.500 0.500
0.500 0.000 0.500
```

Summary:
Space-group type: P4/mmm (123)
Density, g/cm3: 6.07
E_form (uncorrected), eV per atom: -1.05

=====

VASP calculation (PBE) on an optimized crystal structure of Ba2GaP2N6.

POSCAR file:
```
Ba2GaP2N6
1.0
2.828 1.633 5.843
-2.828 1.633 5.843
0.000 -3.265 5.843
Ba Ga P N
2 1 2 6
direct
0.215 0.215 0.215
0.785 0.785 0.785
0.000 0.000 0.000
0.405 0.405 0.405
0.595 0.595 0.595
0.246 0.246 0.730
0.246 0.730 0.246
0.270 0.754 0.754
0.730 0.246 0.246
0.754 0.270 0.754
0.754 0.754 0.270
```

Summary:
Space-group type: R-3m (166)
Density, g/cm3: 5.03
E_form (uncorrected), eV per atom: -0.42

=====

VASP calculation (PBE) on an optimized crystal structure of Ba2Ga2PN2.

POSCAR file:
```
Ba2Ga2PN2
1.0
6.279 -1.825 0.000
6.279 1.825 0.000
-5.015 0.000 6.570
Ba Ga P N
2 2 1 2
direct
0.046 0.046 0.250
0.954 0.954 0.750
0.282 0.282 0.160
0.718 0.718 0.840
0.500 0.500 0.500
0.323 0.323 0.953
0.677 0.677 0.047
```

Summary:
Space-group type: C2/m (12)
Density, g/cm3: 5.22
E_form (uncorrected), eV per atom: -0.24

=====

VASP calculation (PBE) on an optimized crystal structure of Ba4Ga2P2N.

POSCAR file:
```
Ba4Ga2P2N
1.0
5.885 -3.855 0.000
5.885 3.855 0.000
-0.287 0.000 5.701
Ba Ga P N
4 2 2 1
direct
0.103 0.639 0.748
0.361 0.897 0.252
0.639 0.103 0.748
0.897 0.361 0.252
0.395 0.395 0.244
0.605 0.605 0.756
0.143 0.143 0.763
0.857 0.857 0.237
0.500 0.500 0.000
```

Summary:
Space-group type: C2/m (12)
Density, g/cm3: 4.91
E_form (uncorrected), eV per atom: -0.66

=====

VASP calculation (PBE) on an optimized crystal structure of BaPaGaN3.

POSCAR file:
```
BaPaGaN3
1.0
7.787 0.000 0.000
0.000 3.650 0.000
-1.963 0.000 7.798
Ba Pa Ga N
2 2 2 6
direct
0.190 0.250 0.210
0.810 0.750 0.790
0.344 0.750 0.842
0.656 0.250 0.158
0.092 0.250 0.606
0.908 0.750 0.394
0.148 0.250 0.854
0.164 0.750 0.528
0.455 0.750 0.124
0.545 0.250 0.876
0.836 0.250 0.472
0.852 0.750 0.146
```

Summary:
Space-group type: P2_1/m (11)
Density, g/cm3: 7.19
E_form (uncorrected), eV per atom: -0.85

=====

VASP calculation (PBE) on an optimized crystal structure of BaPa2GaN5.

POSCAR file:
```
BaPa2GaN5
1.0
-3.371 3.371 5.802
3.371 -3.371 5.802
3.371 3.371 -5.802
Ba Pa Ga N
2 4 2 10
direct
0.250 0.250 0.000
0.750 0.750 0.000
0.186 0.686 0.871
0.314 0.186 0.500
0.686 0.814 0.500
0.814 0.314 0.129
0.250 0.750 0.500
0.750 0.250 0.500
0.000 0.000 0.000
0.017 0.228 0.500
0.228 0.728 0.212
0.272 0.483 0.500
0.483 0.983 0.212
0.500 0.500 0.000
0.517 0.017 0.788
0.728 0.517 0.500
0.772 0.272 0.788
0.983 0.772 0.500
```

Summary:
Space-group type: I4/mcm (140)
Density, g/cm3: 9.31
E_form (uncorrected), eV per atom: -1.16

=====

VASP calculation (PBE) on an optimized crystal structure of Ba2GaPdN.

POSCAR file:
```
Ba2GaPdN
1.0
5.854 0.000 0.000
0.000 5.854 0.000
0.000 0.000 3.922
Ba Ga Pd N
2 1 1 1
direct
0.000 0.500 0.000
0.500 0.000 0.000
0.000 0.000 0.500
0.500 0.500 0.500
0.500 0.500 0.000
```

Summary:
Space-group type: P4/mmm (123)
Density, g/cm3: 5.74
E_form (uncorrected), eV per atom: -0.30

=====

VASP calculation (PBE) on an optimized crystal structure of BaPrGaN2.

POSCAR file:
```
BaPrGaN2
1.0
5.988 0.000 0.000
0.000 5.395 0.000
-0.001 0.000 7.237
Ba Pr Ga N
2 2 2 4
direct
0.000 0.001 0.250
0.000 0.999 0.750
0.500 0.500 0.250
0.500 0.500 0.750
0.500 0.000 0.000
0.500 0.000 0.500
0.300 0.270 0.000
0.300 0.730 0.500
0.700 0.270 0.500
0.700 0.730 0.000
```

Summary:
Space-group type: P2/c (13)
Density, g/cm3: 5.34
E_form (uncorrected), eV per atom: -0.40

=====

VASP calculation (PBE) on an optimized crystal structure of BaPuGaN3.

POSCAR file:
```
BaPuGaN3
1.0
7.738 0.000 0.000
0.000 3.540 0.000
-1.680 0.000 7.871
Ba Pu Ga N
2 2 2 6
direct
0.187 0.250 0.210
0.813 0.750 0.790
0.353 0.750 0.849
0.647 0.250 0.151
0.102 0.250 0.606
0.898 0.750 0.394
0.154 0.250 0.853
0.160 0.750 0.508
0.452 0.750 0.127
0.548 0.250 0.873
0.840 0.250 0.492
0.846 0.750 0.147
```

Summary:
Space-group type: P2_1/m (11)
Density, g/cm3: 7.60
E_form (uncorrected), eV per atom: -0.70

=====

VASP calculation (PBE) on an optimized crystal structure of Ba2GaRuN.

POSCAR file:
```
Ba2GaRuN
1.0
5.842 0.000 0.000
0.000 5.842 0.000
0.000 0.000 3.826
Ba Ga Ru N
2 1 1 1
direct
0.000 0.500 0.000
0.500 0.000 0.000
0.000 0.000 0.500
0.500 0.500 0.500
0.500 0.500 0.000
```

Summary:
Space-group type: P4/mmm (123)
Density, g/cm3: 5.84
E_form (uncorrected), eV per atom: -0.27

=====

VASP calculation (PBE) on an optimized crystal structure of BaGa2SeN.

POSCAR file:
```
BaGa2SeN
1.0
4.956 0.000 0.000
0.000 4.956 0.000
0.000 0.000 6.395
Ba Ga Se N
1 2 1 1
direct
0.000 0.000 0.000
0.000 0.500 0.500
0.500 0.000 0.500
0.000 0.000 0.500
0.500 0.500 0.000
```

Summary:
Space-group type: P4/mmm (123)
Density, g/cm3: 3.91
E_form (uncorrected), eV per atom: 0.75

=====

VASP calculation (PBE) on an optimized crystal structure of Ba2GaSiN.

POSCAR file:
```
Ba2GaSiN
1.0
6.370 0.000 0.000
0.000 6.370 0.000
0.000 0.000 3.584
Ba Ga Si N
2 1 1 1
direct
0.000 0.500 0.000
0.500 0.000 0.000
0.000 0.000 0.500
0.500 0.500 0.000
0.500 0.500 0.500
```

Summary:
Space-group type: P4/mmm (123)
Density, g/cm3: 4.41
E_form (uncorrected), eV per atom: 0.11

=====

VASP calculation (PBE) on an optimized crystal structure of BaSr2GaN.

POSCAR file:
```
BaSr2GaN
1.0
5.238 0.000 0.000
0.000 5.238 0.000
0.000 0.000 5.649
Ba Sr Ga N
1 2 1 1
direct
0.000 0.000 0.000
0.000 0.500 0.500
0.500 0.000 0.500
0.500 0.500 0.000
0.000 0.000 0.500
```

Summary:
Space-group type: P4/mmm (123)
Density, g/cm3: 4.25
E_form (uncorrected), eV per atom: -0.34

=====

no.,energy (hartree per atom)
1,-0.1425
2,-0.1106
3,-0.1267
4,-0.1980
5,-0.1534
6,-0.1399
7,-0.1491
8,-0.2016
9,-0.2089
10,-0.2414
11,-0.1767
12,-0.1586
13,-0.2725
14,-0.3102
15,-0.1608
16,-0.2086
17,-0.2966
18,-0.1896
19,-0.1178
20,-0.1477
21,-0.1350